No. 1
## K2MnF6 (PBE with a Hubbard U)

Data for a relaxed K2MnF6 crystal.

Output
Raw total energy (eV/atom): -4.931
Calculated density (g/cm³): 2.5
Calculated volume (A^3/atom): 17.953
Total magnetic moment (Bohr magnetons per cell): 6.59

Lattice parameters (Å, degrees): 5.996 6.476 9.989 90.00 123.58 90.00
Space group P2_1/c (No. 14)
Asymmetric unit:
K 0.228 0.064 0.253 [4 per cell]
Mn 0.500 0.000 0.000 [2 per cell]
F 0.212 0.150 0.968 [4 per cell]
F 0.306 0.742 0.455 [4 per cell]
F 0.369 0.030 0.785 [4 per cell]


No. 2
## KMnF2 (PBE with a Hubbard U)

Data for a relaxed KMnF2 crystal.

Output
Calculated density (g/cm³): 3.2
E above lowest polymorph (meV/atom): 421.9
Calculated volume (A^3/atom): 17.250
Total magnetic moment (Bohr magnetons per cell): 23.77

Lattice parameters (Å, degrees): 6.511 6.511 6.511 90.00 90.00 90.00
Space group Fm-3m (No. 225)
Asymmetric unit:
K 0.000 0.000 0.000 [4 per cell]
Mn 0.000 0.000 0.500 [4 per cell]
F 0.250 0.250 0.250 [8 per cell]


No. 3
## KMn2F6 (PBE with a Hubbard U)

Data for a relaxed KMn2F6 crystal.

Output
Raw total energy (eV/atom): -5.651
Calculated density (g/cm³): 2.9
Calculated volume (A^3/atom): 16.669
Total magnetic moment (Bohr magnetons per cell): 9.00

Lattice parameters (Å, degrees): 5.5654 5.5654 5.5928 90.00 90.00 120.00
Space group P-31m (No. 162)
Asymmetric unit:
K 0.0000 0.0000 0.0000 [1 per cell]
Mn 0.3333 0.6667 0.5000 [2 per cell]
F 0.0000 0.3810 0.3042 [6 per cell]


No. 4
## K2MnF5 (PBE with a Hubbard U)

Data for a relaxed K2MnF5 crystal.

Output
Raw total energy (eV/atom): -5.102
Calculated density (g/cm³): 2.8
Calculated volume (A^3/atom): 17.094
Total magnetic moment (Bohr magnetons per cell): 16.00

Lattice parameters (Å, degrees): 11.926 5.852 8.339 90.00 109.98 90.00
Space group C2/c (No. 15)
Asymmetric unit:
K 0.164 0.037 0.331 [8 per cell]
Mn 0.000 0.500 0.000 [4 per cell]
F 0.000 0.398 0.250 [4 per cell]
F 0.119 0.270 0.589 [8 per cell]
F 0.124 0.285 0.030 [8 per cell]


No. 5
## K2MnF6 (PBE with a Hubbard U)

Data for a relaxed K2MnF6 crystal.

Output
Raw total energy (eV/atom): -4.928
Calculated density (g/cm³): 2.9
Calculated volume (A^3/atom): 15.543
Total magnetic moment (Bohr magnetons per cell): 6.48

Lattice parameters (Å, degrees): 5.8261 5.8261 9.5176 90.00 90.00 120.00
Space group P6_3mc (No. 186)
Asymmetric unit:
K 0.0000 0.0000 0.0000 [2 per cell]
K 0.3333 0.6667 0.2743 [2 per cell]
Mn 0.3333 0.6667 0.6585 [2 per cell]
F 0.0366 0.5183 0.5448 [6 per cell]
F 0.1803 0.3606 0.7658 [6 per cell]


No. 6
## K2MnF6 (PBE with a Hubbard U)

Data for a relaxed K2MnF6 crystal.

Output
Raw total energy (eV/atom): -4.929
Calculated density (g/cm³): 2.8
Calculated volume (A^3/atom): 16.182
Total magnetic moment (Bohr magnetons per cell): 13.09

Lattice parameters (Å, degrees): 8.352 8.352 8.352 90.00 90.00 90.00
Space group Fm-3m (No. 225)
Asymmetric unit:
K 0.250 0.250 0.250 [8 per cell]
Mn 0.000 0.000 0.000 [4 per cell]
F 0.000 0.000 0.221 [24 per cell]


No. 7
## KMnF5 (PBE with a Hubbard U)

Data for a relaxed KMnF5 crystal.

Output
Raw total energy (eV/atom): -4.965
Calculated density (g/cm³): 2.6
Calculated volume (A^3/atom): 17.063
Total magnetic moment (Bohr magnetons per cell): 12.46

Lattice parameters (Å, degrees): 9.407 7.250 7.523 90.00 111.38 90.00
Space group C2/c (No. 15)
Asymmetric unit:
K 0.000 0.035 0.250 [4 per cell]
Mn 0.000 0.500 0.000 [4 per cell]
F 0.000 0.439 0.250 [4 per cell]
F 0.037 0.256 0.976 [8 per cell]
F 0.203 0.454 0.601 [8 per cell]


No. 8
## K6MnF12 (PBE with a Hubbard U)

Data for a relaxed K6MnF12 crystal.

Output
Raw total energy (eV/atom): -4.302
Calculated density (g/cm³): 2.3
Calculated volume (A^3/atom): 19.517
Total magnetic moment (Bohr magnetons per cell): 15.00

Lattice parameters (Å, degrees): 11.0385 11.0385 10.5422 90.00 90.00 120.00
Space group R-3 (No. 148, hexagonal axes)
Asymmetric unit:
K 0.0718 0.4783 0.3218 [18 per cell]
Mn 0.0000 0.0000 0.0000 [3 per cell]
F 0.0452 0.1560 0.9008 [18 per cell]
F 0.0708 0.2533 0.4014 [18 per cell]


No. 9
## KMn2F (PBE with a Hubbard U)

Data for a relaxed KMn2F crystal.

Output
Calculated density (g/cm³): 2.1
E above lowest polymorph (meV/atom): 0.0
Calculated volume (A^3/atom): 32.514
Total magnetic moment (Bohr magnetons per cell): 39.32

Lattice parameters (Å, degrees): 7.037 7.037 10.506 90.00 90.00 90.00
Space group I4_1/amd (No. 141, origin choice 2)
Asymmetric unit:
K 0.000 0.250 0.375 [4 per cell]
Mn 0.000 0.000 0.000 [8 per cell]
F 0.000 0.250 0.875 [4 per cell]


No. 10
## KMn2F6 (PBE with a Hubbard U)

Data for a relaxed KMn2F6 crystal.

Output
Raw total energy (eV/atom): -5.652
Calculated density (g/cm³): 2.8
Calculated volume (A^3/atom): 17.196
Total magnetic moment (Bohr magnetons per cell): 18.00

Lattice parameters (Å, degrees): 10.494 4.201 7.908 90.00 117.40 90.00
Space group C2/m (No. 12)
Asymmetric unit:
K 0.000 0.000 0.000 [2 per cell]
Mn 0.172 0.000 0.591 [4 per cell]
F 0.007 0.000 0.660 [4 per cell]
F 0.177 0.500 0.156 [4 per cell]
F 0.201 0.500 0.554 [4 per cell]


No. 11
## K3Mn2F9 (PBE with a Hubbard U)

Data for a relaxed K3Mn2F9 crystal.

Output
Raw total energy (eV/atom): -5.125
Calculated density (g/cm³): 3.0
Calculated volume (A^3/atom): 15.660
Total magnetic moment (Bohr magnetons per cell): 8.00

Lattice parameters (Å, degrees): 5.8183 5.8183 7.4782 90.00 90.00 120.00
Space group P-3m1 (No. 164)
Asymmetric unit:
K 0.0000 0.0000 0.0000 [1 per cell]
K 0.3333 0.6667 0.3760 [2 per cell]
Mn 0.3333 0.6667 0.8446 [2 per cell]
F 0.0000 0.5000 0.0000 [3 per cell]
F 0.1769 0.3538 0.7016 [6 per cell]


No. 12
## K3MnF8 (PBE with a Hubbard U)

Data for a relaxed K3MnF8 crystal.

Output
Calculated density (g/cm³): 2.8
E above lowest polymorph (meV/atom): 190.4
Calculated volume (A^3/atom): 16.107
Total magnetic moment (Bohr magnetons per cell): 3.81

Lattice parameters (Å, degrees): 5.854 5.854 11.280 90.00 90.00 90.00
Space group I4/mmm (No. 139)
Asymmetric unit:
K 0.000 0.000 0.000 [2 per cell]
K 0.000 0.500 0.250 [4 per cell]
Mn 0.000 0.000 0.500 [2 per cell]
F 0.199 0.199 0.397 [16 per cell]